Material: BaHgRu2
Method: DFT, PBE
State: relaxed

The structure belongs to space group P4/mmm (No. 123); the cell edges are 4.5637, 4.5637 and 4.1206 Å and the angles 90.00°, 90.00° and 90.00°. Symmetry generates all atoms from Ba at (0.0000, 0.0000, 0.0000), Hg at (0.5000, 0.5000, 0.0000) and Ru at (0.0000, 0.5000, 0.5000).

Its formation energy is 87.9 kJ/mol of atoms.

---

Material: Ba2U2N5
Method: DFT, PBE
State: relaxed

The structure belongs to space group C2/m (No. 12); the cell edges are 11.5914, 3.6406 and 7.6069 Å and the angles 90.00°, 91.66° and 90.00°. Symmetry generates all atoms from Ba at (0.1081, 0.0000, 0.3573), U at (0.1340, 0.5000, 0.9052), N at (0.0000, 0.0000, 0.0000), N at (0.0830, 0.5000, 0.6631) and N at (0.2270, 0.5000, 0.1349).

The calculation puts the total energy at -8.676 eV/atom.

---

Material: Er5GeBi2C
Method: DFT, PBE
State: relaxed

The structure belongs to space group P4/mmm (No. 123); the cell edges are 4.6521, 4.6521 and 10.9468 Å and the angles 90.00°, 90.00° and 90.00°. Symmetry generates all atoms from Er at (0.0000, 0.0000, 0.0000), Er at (0.0000, 0.5000, 0.5000), Er at (0.5000, 0.5000, 0.2599), Ge at (0.5000, 0.5000, 0.0000), Bi at (0.0000, 0.0000, 0.2878) and C at (0.5000, 0.5000, 0.5000).

Its formation energy is -58.1 kJ/mol of atoms.

---

Material: CaY2Zn2
Method: DFT, PBE
State: relaxed

The structure belongs to space group P4/mbm (No. 127); the cell edges are 8.3341, 8.3341 and 3.7806 Å and the angles 90.00°, 90.00° and 90.00°. Symmetry generates all atoms from Ca at (0.0000, 0.0000, 0.0000), Y at (0.1604, 0.3396, 0.5000) and Zn at (0.1326, 0.6326, 0.0000).

Its formation energy is -20.7 kJ/mol of atoms.

---

Material: FeNiAs4
Method: DFT, PBE
State: relaxed

The structure belongs to space group F-43m (No. 216); the cell edges are 7.6001, 7.6001 and 7.6001 Å and the angles 90.00°, 90.00° and 90.00°. Symmetry generates all atoms from Fe at (0.0000, 0.0000, 0.0000), Ni at (0.2500, 0.2500, 0.2500) and As at (0.1249, 0.1249, 0.6249).

Its formation energy is 79.4 kJ/mol of atoms.

---

Material: KSn2
Method: DFT, PBE
State: relaxed

The structure belongs to space group Fd-3m (No. 227, origin choice 2); the cell edges are 9.2029, 9.2029 and 9.2029 Å and the angles 90.00°, 90.00° and 90.00°. Symmetry generates all atoms from K at (0.1250, 0.1250, 0.1250) and Sn at (0.0000, 0.0000, 0.5000).

Its formation energy is -12.9 kJ/mol of atoms.

---

Material: PrNd3Dy2Y6
Method: DFT, PBE
State: relaxed

The structure belongs to space group C2/m (No. 12); the cell edges are 6.2545, 10.8269 and 11.8918 Å and the angles 90.00°, 100.05° and 90.00°. Symmetry generates all atoms from Pr at (0.0000, 0.0000, 0.0000), Nd at (0.0000, 0.1669, 0.5000), Nd at (0.0000, 0.5000, 0.5000), Dy at (0.0000, 0.3333, 0.0000), Y at (0.2487, 0.5000, 0.2482) and Y at (0.2499, 0.1670, 0.2482).

Its formation energy is 1.3 kJ/mol of atoms.

---

Material: PmTmInPt
Method: DFT, PBE
State: relaxed

The structure belongs to space group F-43m (No. 216); the cell edges are 7.3045, 7.3045 and 7.3045 Å and the angles 90.00°, 90.00° and 90.00°. Symmetry generates all atoms from Pm at (0.0000, 0.0000, 0.0000), Tm at (0.0000, 0.0000, 0.5000), In at (0.2500, 0.2500, 0.7500) and Pt at (0.2500, 0.2500, 0.2500).

Its formation energy is -68.9 kJ/mol of atoms.

---

Material: Bi2PdPt
Method: DFT, PBE
State: relaxed

The structure belongs to space group P-3m1 (No. 164); the cell edges are 4.3719, 4.3719 and 5.6537 Å and the angles 90.00°, 90.00° and 120.00°. Symmetry generates all atoms from Bi at (0.3333, 0.6667, 0.2455), Pd at (0.0000, 0.0000, 0.5000) and Pt at (0.0000, 0.0000, 0.0000).

Its formation energy is -29.9 kJ/mol of atoms.

---

no.,density (Mg/m³)
1,10.449
2,8.495
3,9.385
4,4.410
5,6.267
6,4.713
7,5.998
8,10.632
9,12.766